[1]
SmAl4Ag12 (PBE, optimized geometry); total energy = -50.034 eV/cell; total magnetic moment = 0.000 μB per atom; energy of formation = 228 meV/atom
1.0
7.799 0.000 0.000
-2.600 7.353 0.000
-2.600 -3.677 6.368
Sm Al Ag
1 4 12
Cartesian
0.000 0.000 0.000 Sm
-1.300 3.677 0.000 Al
3.900 0.000 0.000 Al
1.300 1.838 3.184 Al
-1.300 -1.838 3.184 Al
5.197 1.840 1.211 Ag
0.989 3.109 0.988 Ag
4.211 -1.266 4.169 Ag
0.002 -1.708 5.380 Ag
-1.611 4.943 2.199 Ag
1.611 0.567 5.380 Ag
2.602 -0.129 2.199 Ag
-0.002 3.805 4.169 Ag
2.598 5.385 0.988 Ag
3.588 2.978 3.181 Ag
-0.989 0.699 3.187 Ag
-2.598 1.837 5.157 Ag



[2]
Nd6ZnIn (PBE, optimized geometry); energy relative to the lowest polymorph listed for this composition = 0.053 eV per atom; total energy = -33.589 eV/cell; total magnetic moment = 0.000 μB per atom; energy of formation = -121 meV/atom
1.0
-1.403 9.003 1.134
-7.649 3.649 -1.458
-3.738 3.647 3.479
Nd Zn In
6 1 1
Cartesian
-6.299 4.709 2.078 Nd
-11.143 12.956 1.958 Nd
-3.282 6.546 0.867 Nd
-1.647 3.343 1.197 Nd
-6.490 11.590 1.077 Nd
-9.507 9.752 2.288 Nd
0.000 0.000 0.000 Zn
-6.395 8.149 1.577 In